a.
# PaSe2O8, optimized geometry, DFT PBE
data_PaSe2O8
_chemical_formula_sum 'Pa1 Se2 O8'
_cell_length_a 5.545
_cell_length_b 6.164
_cell_length_c 6.164
_cell_angle_alpha 60.45
_cell_angle_beta 76.76
_cell_angle_gamma 76.76
_space_group_name_H-M_alt 'P 1'
_space_group_IT_number 1
loop_
_space_group_symop_operation_xyz
'x,y,z'
loop_
_atom_site_label
_atom_site_fract_x
_atom_site_fract_y
_atom_site_fract_z
Pa1 0.000 0.000 0.000
Se1 0.312 0.204 0.204
Se2 0.688 0.796 0.796
O1 0.802 0.080 0.672
O2 0.198 0.328 0.920
O3 0.644 0.149 0.149
O4 0.356 0.851 0.851
O5 0.802 0.672 0.080
O6 0.198 0.920 0.328
O7 0.222 0.364 0.364
O8 0.778 0.636 0.636
# - SG: No. 12
# - Total moment: 0.89 μB per cell
# - DOS at the Fermi energy: 0.38 states/eV per atom



b.
# PaSe2O8, optimized geometry, DFT PBE
data_PaSe2O8
_chemical_formula_sum 'Pa1 Se2 O8'
_cell_length_a 6.543
_cell_length_b 5.895
_cell_length_c 5.895
_cell_angle_alpha 120.00
_cell_angle_beta 90.00
_cell_angle_gamma 90.00
_space_group_name_H-M_alt 'P 1'
_space_group_IT_number 1
loop_
_space_group_symop_operation_xyz
'x,y,z'
loop_
_atom_site_label
_atom_site_fract_x
_atom_site_fract_y
_atom_site_fract_z
Pa1 0.000 0.000 0.000
Se1 0.295 0.333 0.667
Se2 0.705 0.667 0.333
O1 0.457 0.667 0.333
O2 0.543 0.333 0.667
O3 0.806 0.825 0.175
O4 0.194 0.175 0.349
O5 0.194 0.651 0.825
O6 0.194 0.175 0.825
O7 0.806 0.825 0.651
O8 0.806 0.349 0.175
# - SG: No. 164
# - Total moment: 1.07 μB per cell
# - DOS at the Fermi energy: 0.33 states/eV per atom



Short version: a is the least stable of them.



a.
# PaSeO6, optimized geometry, DFT PBE
data_PaSeO6
_chemical_formula_sum 'Pa1 Se1 O6'
_cell_length_a 4.447
_cell_length_b 4.447
_cell_length_c 4.435
_cell_angle_alpha 98.75
_cell_angle_beta 98.75
_cell_angle_gamma 99.02
_space_group_name_H-M_alt 'P 1'
_space_group_IT_number 1
loop_
_space_group_symop_operation_xyz
'x,y,z'
loop_
_atom_site_label
_atom_site_fract_x
_atom_site_fract_y
_atom_site_fract_z
Pa1 0.000 0.000 0.000
Se1 0.500 0.500 0.500
O1 0.202 0.202 0.559
O2 0.556 0.202 0.202
O3 0.798 0.798 0.441
O4 0.798 0.444 0.798
O5 0.444 0.798 0.798
O6 0.202 0.556 0.202
# - SG: No. 12
# - Total moment: 0.00 μB per cell
# - DOS at the Fermi energy: 0.32 states/eV per atom



b.
# PaSeO6, optimized geometry, DFT PBE
data_PaSeO6
_chemical_formula_sum 'Pa2 Se2 O12'
_cell_length_a 5.163
_cell_length_b 5.163
_cell_length_c 9.439
_cell_angle_alpha 90.00
_cell_angle_beta 90.00
_cell_angle_gamma 120.00
_space_group_name_H-M_alt 'P 1'
_space_group_IT_number 1
loop_
_space_group_symop_operation_xyz
'x,y,z'
loop_
_atom_site_label
_atom_site_fract_x
_atom_site_fract_y
_atom_site_fract_z
Pa1 0.333 0.667 0.250
Pa2 0.667 0.333 0.750
Se1 0.000 0.000 0.500
Se2 0.000 0.000 0.000
O1 0.263 0.304 0.389
O2 0.737 0.696 0.611
O3 0.040 0.737 0.389
O4 0.263 0.960 0.111
O5 0.960 0.263 0.611
O6 0.737 0.040 0.889
O7 0.696 0.960 0.389
O8 0.040 0.304 0.111
O9 0.304 0.040 0.611
O10 0.960 0.696 0.889
O11 0.696 0.737 0.111
O12 0.304 0.263 0.889
# - SG: No. 163
# - Total moment: 1.97 μB per cell
# - DOS at the Fermi energy: 0.65 states/eV per atom



Short version: a is the least stable of them.



a.
# SrPa2O7, optimized geometry, DFT PBE
data_SrPa2O7
_chemical_formula_sum 'Sr1 Pa2 O7'
_cell_length_a 4.241
_cell_length_b 6.390
_cell_length_c 6.390
_cell_angle_alpha 112.73
_cell_angle_beta 90.00
_cell_angle_gamma 90.00
_space_group_name_H-M_alt 'P 1'
_space_group_IT_number 1
loop_
_space_group_symop_operation_xyz
'x,y,z'
loop_
_atom_site_label
_atom_site_fract_x
_atom_site_fract_y
_atom_site_fract_z
Sr1 0.000 0.000 0.000
Pa1 0.500 0.700 0.300
Pa2 0.500 0.300 0.700
O1 0.000 0.721 0.279
O2 0.000 0.279 0.721
O3 0.500 0.051 0.321
O4 0.500 0.949 0.679
O5 0.500 0.321 0.051
O6 0.500 0.679 0.949
O7 0.500 0.500 0.500
# - SG: No. 65
# - Total moment: 0.00 μB per cell
# - DOS at the Fermi energy: 0.42 states/eV per atom



b.
# SrPa2O7, optimized geometry, DFT PBE
data_SrPa2O7
_chemical_formula_sum 'Sr1 Pa2 O7'
_cell_length_a 3.913
_cell_length_b 3.913
_cell_length_c 10.669
_cell_angle_alpha 88.68
_cell_angle_beta 88.68
_cell_angle_gamma 60.44
_space_group_name_H-M_alt 'P 1'
_space_group_IT_number 1
loop_
_space_group_symop_operation_xyz
'x,y,z'
loop_
_atom_site_label
_atom_site_fract_x
_atom_site_fract_y
_atom_site_fract_z
Sr1 0.500 0.500 0.500
Pa1 0.151 0.151 0.801
Pa2 0.849 0.849 0.199
O1 0.809 0.809 0.875
O2 0.510 0.510 0.243
O3 0.000 0.000 0.000
O4 0.191 0.191 0.125
O5 0.161 0.161 0.609
O6 0.839 0.839 0.391
O7 0.490 0.490 0.757
# - SG: No. 12
# - Total moment: 0.00 μB per cell
# - DOS at the Fermi energy: 0.00 states/eV per atom



Short version: a is the least stable of them.



a.
# Sr2Pa2O7, optimized geometry, DFT PBE
data_Sr2Pa2O7
_chemical_formula_sum 'Sr2 Pa2 O7'
_cell_length_a 5.513
_cell_length_b 5.729
_cell_length_c 5.513
_cell_angle_alpha 90.00
_cell_angle_beta 96.27
_cell_angle_gamma 90.00
_space_group_name_H-M_alt 'P 1'
_space_group_IT_number 1
loop_
_space_group_symop_operation_xyz
'x,y,z'
loop_
_atom_site_label
_atom_site_fract_x
_atom_site_fract_y
_atom_site_fract_z
Sr1 0.746 0.500 0.746
Sr2 0.254 0.500 0.254
Pa1 0.726 0.000 0.274
Pa2 0.274 0.000 0.726
O1 0.000 0.230 0.500
O2 0.500 0.770 0.000
O3 0.000 0.770 0.500
O4 0.500 0.230 0.000
O5 0.000 0.000 0.000
O6 0.500 0.776 0.500
O7 0.500 0.224 0.500
# - SG: No. 65
# - Total moment: 0.00 μB per cell
# - DOS at the Fermi energy: 0.00 states/eV per atom



b.
# Sr2Pa2O7, optimized geometry, DFT PBE
data_Sr2Pa2O7
_chemical_formula_sum 'Sr4 Pa4 O14'
_cell_length_a 8.079
_cell_length_b 8.079
_cell_length_c 8.079
_cell_angle_alpha 60.00
_cell_angle_beta 60.00
_cell_angle_gamma 60.00
_space_group_name_H-M_alt 'P 1'
_space_group_IT_number 1
loop_
_space_group_symop_operation_xyz
'x,y,z'
loop_
_atom_site_label
_atom_site_fract_x
_atom_site_fract_y
_atom_site_fract_z
Sr1 0.625 0.625 0.625
Sr2 0.625 0.625 0.125
Sr3 0.625 0.125 0.625
Sr4 0.125 0.625 0.625
Pa1 0.625 0.125 0.125
Pa2 0.125 0.625 0.125
Pa3 0.125 0.125 0.625
Pa4 0.125 0.125 0.125
O1 0.197 0.197 0.803
O2 0.197 0.803 0.197
O3 0.447 0.053 0.447
O4 0.447 0.447 0.053
O5 0.750 0.750 0.750
O6 0.803 0.197 0.197
O7 0.447 0.053 0.053
O8 0.053 0.447 0.447
O9 0.053 0.053 0.447
O10 0.053 0.447 0.053
O11 0.197 0.803 0.803
O12 0.500 0.500 0.500
O13 0.803 0.197 0.803
O14 0.803 0.803 0.197
# - SG: No. 227
# - Total moment: 0.00 μB per cell



Short version: a is the least stable of them.



a.
# PaTcO, optimized geometry, DFT PBE
data_PaTcO
_chemical_formula_sum 'Pa4 Tc4 O4'
_cell_length_a 4.344
_cell_length_b 5.953
_cell_length_c 7.602
_cell_angle_alpha 90.00
_cell_angle_beta 90.00
_cell_angle_gamma 90.00
_space_group_name_H-M_alt 'P 1'
_space_group_IT_number 1
loop_
_space_group_symop_operation_xyz
'x,y,z'
loop_
_atom_site_label
_atom_site_fract_x
_atom_site_fract_y
_atom_site_fract_z
Pa1 0.750 0.391 0.196
Pa2 0.750 0.109 0.696
Pa3 0.250 0.891 0.304
Pa4 0.250 0.609 0.804
Tc1 0.250 0.388 0.532
Tc2 0.250 0.112 0.032
Tc3 0.750 0.888 0.968
Tc4 0.750 0.612 0.468
O1 0.250 0.023 0.596
O2 0.250 0.477 0.096
O3 0.750 0.523 0.904
O4 0.750 0.977 0.404
# - SG: No. 62
# - Total moment: 0.00 μB per cell
# - DOS at the Fermi energy: 0.13 states/eV per atom



b.
# PaTcO, optimized geometry, DFT PBE
data_PaTcO
_chemical_formula_sum 'Pa1 Tc1 O1'
_cell_length_a 3.493
_cell_length_b 3.493
_cell_length_c 5.805
_cell_angle_alpha 90.00
_cell_angle_beta 90.00
_cell_angle_gamma 120.00
_space_group_name_H-M_alt 'P 1'
_space_group_IT_number 1
loop_
_space_group_symop_operation_xyz
'x,y,z'
loop_
_atom_site_label
_atom_site_fract_x
_atom_site_fract_y
_atom_site_fract_z
Pa1 0.667 0.333 0.374
Tc1 0.000 0.000 0.079
O1 0.333 0.667 0.547
# - SG: No. 156
# - Total moment: 0.22 μB per cell
# - DOS at the Fermi energy: 1.27 states/eV per atom



Short version: b is the least stable of them.